[1]
Computed, not measured: crystalline BeHg2Pb at its relaxed geometry at the PBEsol level of DFT.

a = 5.4164 Å, b = 5.4164 Å, c = 5.4164 Å
α = 131.92°, β = 131.92°, γ = 70.35°
Positions (direct):
Be1 0.0000 0.0000 0.0000
Hg1 0.5000 0.5000 0.0000
Hg2 0.7500 0.2500 0.5000
Pb1 0.2500 0.7500 0.5000

Distance to the lowest polymorph of the same formula = 0.202 eV/atom
DFT formation energy = 0.4626 eV/atom

=====

[2]
Computed, not measured: crystalline BeHg3Pd at its relaxed geometry at the PBEsol level of DFT.

a = 4.5677 Å, b = 4.5677 Å, c = 4.5677 Å
α = 90.00°, β = 90.00°, γ = 90.00°
Positions (direct):
Be1 0.0000 0.0000 0.0000
Hg1 0.0000 0.0000 0.5000
Hg2 0.0000 0.5000 0.0000
Hg3 0.5000 0.0000 0.0000
Pd1 0.5000 0.5000 0.5000

DFT formation energy = 0.3829 eV/atom